RbTe2MoO8 after structural relaxation. Source: the Alexandria database, functional GGA+U.

**Calculated density**: 4.01 g/cm³
**Total magnetic moment**: 0.000 μB per cell
**Electronic total energy**: -5.645 eV per atom
**DOS at the Fermi energy**: 0.379 states/eV/atom

Cell: 5.7749 5.7749 8.0903 Å, 90.00 90.00 120.00°
Space group P-3 (No. 147)
Asymmetric unit:
Rb 0.0000 0.0000 0.0000 (multiplicity 1)
Te 0.3333 0.6667 0.6662 (multiplicity 2)
Mo 0.0000 0.0000 0.5000 (multiplicity 1)
O 0.0181 0.2847 0.6391 (multiplicity 6)
O 0.3333 0.6667 0.8900 (multiplicity 2)